PBE-GGA K2MgZr2Te6, relaxed; formation energy without anion corrections = -0.9443 eV per atom
1.0
-1.8262 6.6698 -2.3599
-5.1890 -4.7842 1.8910
2.5913 2.2497 8.1117
K Mg Zr Te
2 1 2 6
Cartesian
-2.3810 4.7800 -1.6586
-4.6342 -2.8945 1.1896
1.2956 1.1248 4.0558
-2.7762 0.1458 4.5346
-1.6477 3.9894 3.1081
-3.2732 2.9349 5.3187
-0.4149 0.0877 6.2710
-1.1507 1.2004 2.3241
0.7180 3.9465 4.8389
-4.0090 4.0475 1.3717
-5.1419 0.1887 2.8038

=====

PBE-GGA K3MgZr2Te6, relaxed; formation energy without anion corrections = -0.9624 eV per atom
1.0
-2.8747 -0.2421 6.8717
-4.0879 -2.2086 -5.8271
5.1541 -6.8438 0.5674
K Mg Zr Te
3 1 2 6
Cartesian
-1.3093 -5.3038 -3.4336
-0.4992 -3.9907 5.0457
-0.9042 -4.6472 0.8060
0.0000 0.0000 0.0000
-3.6832 -1.5525 -1.5907
-3.2794 -0.8981 2.6354
-0.9985 -7.0237 3.3891
-4.0553 -3.1575 0.8764
-0.8099 -2.2707 -1.7771
-1.4066 -7.6851 -0.8817
2.2469 -6.1370 0.7357
-0.4019 -1.6094 2.4937

=====

PBE-GGA KMg3Ti, relaxed; energy of formation from the pure elements = 706.1 kJ/mol of formula units
1.0
5.5634 0.0000 0.0000
0.0000 5.5634 0.0000
0.0000 0.0000 5.5634
K Mg Ti
1 3 1
Cartesian
0.0000 0.0000 0.0000
0.0000 2.7817 0.0000
0.0000 0.0000 2.7817
2.7817 0.0000 0.0000
2.7817 2.7817 2.7817

=====

PBE-GGA K3MgTi, relaxed; energy of formation from the pure elements = 496.2 kJ/mol of formula units
1.0
6.7590 0.0000 0.0000
0.0000 6.7590 0.0000
0.0000 0.0000 6.7590
K Mg Ti
3 1 1
Cartesian
0.0000 3.3795 0.0000
0.0000 0.0000 3.3795
3.3795 0.0000 0.0000
3.3795 3.3795 3.3795
0.0000 0.0000 0.0000

=====

Which energy belongs to each record? In order, -4.557; -4.365; -1.292; -1.528 eV/atom.